Compound: Ca2VReRu
Source: Alexandria
Functional: PBE-GGA
Structure: optimized geometry

Computed properties:
D(E_F)	1.4058	states/eV/atom
total energy	-0.20532	hartree per atom

Structure (CIF):
```
data_Ca2VReRu
_chemical_formula_sum 'Ca2 V1 Re1 Ru1'
_space_group_name_H-M_alt 'P 4/m m m'
_space_group_IT_number 123
_space_group_name_Hall '-P 4 2'
_cell_length_a 5.3432
_cell_length_b 5.3432
_cell_length_c 4.4178
_cell_angle_alpha 90.00
_cell_angle_beta 90.00
_cell_angle_gamma 90.00
loop_
_atom_site_label
_atom_site_type_symbol
_atom_site_fract_x
_atom_site_fract_y
_atom_site_fract_z
Ca1 Ca 0.0000 0.5000 0.0000
V1 V 0.0000 0.0000 0.5000
Re1 Re 0.5000 0.5000 0.5000
Ru1 Ru 0.0000 0.0000 0.0000
```

---

Compound: CaReS2
Source: Alexandria
Functional: PBE-GGA
Structure: optimized geometry

Computed properties:
ΔE_f (raw)	-0.575	eV per atom
D(E_F)	0.4471	states/eV/atom
energy above the lowest structure with this stoichiometry	0.000	eV per atom

Structure (CIF):
```
data_CaReS2
_chemical_formula_sum 'Ca4 Re4 S8'
_space_group_name_H-M_alt 'I -4 2 d'
_space_group_IT_number 122
_space_group_name_Hall 'I -4 2bw'
_cell_length_a 5.5157
_cell_length_b 5.5157
_cell_length_c 12.2406
_cell_angle_alpha 90.00
_cell_angle_beta 90.00
_cell_angle_gamma 90.00
loop_
_atom_site_label
_atom_site_type_symbol
_atom_site_fract_x
_atom_site_fract_y
_atom_site_fract_z
Ca1 Ca 0.0000 0.0000 0.0000
Re1 Re 0.0000 0.0000 0.5000
S1 S 0.1777 0.2500 0.6250
```

---

Compound: CaRe3S
Source: Alexandria
Functional: PBE-GGA
Structure: optimized geometry

Computed properties:
ΔE_f (raw)	3.651	eV per atom
D(E_F)	1.2292	states/eV/atom
energy above the lowest structure with this stoichiometry	2.880	eV per atom

Structure (CIF):
```
data_CaRe3S
_chemical_formula_sum 'Ca1 Re3 S1'
_space_group_name_H-M_alt 'P m -3 m'
_space_group_IT_number 221
_space_group_name_Hall '-P 4 2 3'
_cell_length_a 4.6752
_cell_length_b 4.6752
_cell_length_c 4.6752
_cell_angle_alpha 90.00
_cell_angle_beta 90.00
_cell_angle_gamma 90.00
loop_
_atom_site_label
_atom_site_type_symbol
_atom_site_fract_x
_atom_site_fract_y
_atom_site_fract_z
Ca1 Ca 0.0000 0.0000 0.0000
Re1 Re 0.0000 0.0000 0.5000
S1 S 0.5000 0.5000 0.5000
```

---

Compound: CaRe2S
Source: Alexandria
Functional: PBE-GGA
Structure: optimized geometry

Computed properties:
ΔE_f (raw)	0.406	eV per atom
D(E_F)	0.8383	states/eV/atom
energy above the lowest structure with this stoichiometry	0.000	eV per atom

Structure (CIF):
```
data_CaRe2S
_chemical_formula_sum 'Ca4 Re8 S4'
_space_group_name_H-M_alt 'I -4 2 d'
_space_group_IT_number 122
_space_group_name_Hall 'I -4 2bw'
_cell_length_a 3.6803
_cell_length_b 3.6803
_cell_length_c 22.5426
_cell_angle_alpha 90.00
_cell_angle_beta 90.00
_cell_angle_gamma 90.00
loop_
_atom_site_label
_atom_site_type_symbol
_atom_site_fract_x
_atom_site_fract_y
_atom_site_fract_z
Ca1 Ca 0.0000 0.0000 0.0000
Re1 Re 0.2319 0.2500 0.6250
S1 S 0.0000 0.0000 0.5000
```

---

Compound: CaRe3S
Source: Alexandria
Functional: PBE-GGA
Structure: optimized geometry

Computed properties:
ΔE_f (raw)	0.771	eV per atom
D(E_F)	1.0478	states/eV/atom
energy above the lowest structure with this stoichiometry	0.000	eV per atom

Structure (CIF):
```
data_CaRe3S
_chemical_formula_sum 'Ca1 Re3 S1'
_space_group_name_H-M_alt 'P m -3 m'
_space_group_IT_number 221
_space_group_name_Hall '-P 4 2 3'
_cell_length_a 4.4675
_cell_length_b 4.4675
_cell_length_c 4.4675
_cell_angle_alpha 90.00
_cell_angle_beta 90.00
_cell_angle_gamma 90.00
loop_
_atom_site_label
_atom_site_type_symbol
_atom_site_fract_x
_atom_site_fract_y
_atom_site_fract_z
Ca1 Ca 0.0000 0.0000 0.0000
Re1 Re 0.0000 0.5000 0.5000
S1 S 0.5000 0.5000 0.5000
```

---

Compound: CaRe2S
Source: Alexandria
Functional: PBE-GGA
Structure: optimized geometry

Computed properties:
ΔE_f (raw)	1.339	eV per atom
D(E_F)	1.1583	states/eV/atom
energy above the lowest structure with this stoichiometry	0.933	eV per atom

Structure (CIF):
```
data_CaRe2S
_chemical_formula_sum 'Ca4 Re8 S4'
_space_group_name_H-M_alt 'F m -3 m'
_space_group_IT_number 225
_space_group_name_Hall '-F 4 2 3'
_cell_length_a 6.3431
_cell_length_b 6.3431
_cell_length_c 6.3431
_cell_angle_alpha 90.00
_cell_angle_beta 90.00
_cell_angle_gamma 90.00
loop_
_atom_site_label
_atom_site_type_symbol
_atom_site_fract_x
_atom_site_fract_y
_atom_site_fract_z
Ca1 Ca 0.0000 0.0000 0.0000
Re1 Re 0.2500 0.2500 0.2500
S1 S 0.0000 0.0000 0.5000
```